Entry from the Alexandria database: a relaxed SrMoPO2 crystal (PBE+U).

POSCAR file:
```
SrMoPO2
1.0
4.096 0.000 0.000
0.000 4.096 0.000
0.000 0.000 4.948
Sr Mo P O
1 1 1 2
Cartesian
0.000 0.000 0.000
2.048 2.048 2.474
2.048 2.048 0.000
0.000 2.048 2.474
2.048 0.000 2.474
```

Output
Mass density, Mg/m³: 4.9
Total magnetic moment, μB per cell: 1.0
SG: P4/mmm (123)
Relative energy among the computed polymorphs, meV/atom: 0
Volume, Å³/cell: 83
Final energy, eV/atom: -6.05